(1)
This record from Alexandria describes a relaxed LiPuCl3 crystal. The functional is PBE.

Cell and atoms, written as POSCAR:
```
LiPuCl3
1.0
-2.9269 0.6549 1.7834
3.9821 2.6675 5.5547
1.7124 7.1304 0.1928
Li Pu Cl
1 1 3
Cartesian
1.7567 4.1201 2.8720
-0.1421 0.8528 0.9569
0.2844 6.3268 3.0611
-0.6499 2.9903 2.7521
1.2442 4.0200 5.4815
```

Output
total DFT energy (no corrections) = -6.05 eV per atom

=====

(2)
This record from Alexandria describes a relaxed BaCaSiO4 crystal. The functional is PBE.

Cell and atoms, written as POSCAR:
```
BaCaSiO4
1.0
-2.9245 -2.0932 4.2915
-0.0254 -5.2130 -2.5600
6.9499 -0.7427 1.4433
Ba Ca Si O
2 2 2 8
Cartesian
4.3563 -6.0685 2.4324
-0.3563 -1.9804 0.7425
0.8805 -5.9304 2.1857
3.1194 -2.1186 0.9892
1.5104 -4.6596 -0.4083
2.4895 -3.3893 3.5832
2.2206 -4.9969 3.9031
1.7680 -5.3914 -1.8770
1.7794 -3.0520 -0.7282
2.2320 -2.6576 5.0519
-0.0279 -4.9282 0.1539
4.0278 -3.1208 3.0209
2.5887 -5.2065 0.6946
1.4113 -2.8425 2.4802
```

Output
total DFT energy (no corrections) = -7.15 eV per atom
excess energy over the best structure of this formula in the dataset = 0.0 meV/atom

=====

(3)
This record from Alexandria describes a relaxed ZnSiSb2I crystal. The functional is PBE.

Cell and atoms, written as POSCAR:
```
ZnSiSb2I
1.0
5.2668 0.0000 0.0000
0.0000 5.2668 0.0000
0.0000 0.0000 5.6024
I Sb Zn Si
1 2 1 1
Cartesian
0.0000 0.0000 2.8012
0.0000 2.6334 0.0000
2.6334 0.0000 0.0000
2.6334 2.6334 2.8012
0.0000 0.0000 0.0000
```

Output
total DFT energy (no corrections) = -2.66 eV per atom
excess energy over the best structure of this formula in the dataset = 0.0 meV/atom

=====

(4)
This record from Alexandria describes a relaxed RbNa2Tl2Bi2 crystal. The functional is PBE.

Cell and atoms, written as POSCAR:
```
RbNa2Tl2Bi2
1.0
5.4881 0.0000 0.0000
2.7440 4.7528 0.0000
2.7440 1.5843 9.9016
Rb Na Tl Bi
1 2 2 2
Cartesian
0.0000 0.0000 0.0000
2.7441 1.5843 5.8169
8.2321 4.7528 4.0847
5.4881 3.1686 3.2868
5.4881 3.1686 6.6148
8.2322 4.7528 7.3187
2.7440 1.5843 2.5829
```

Output
energy of formation from the pure elements = -1.65 eV/f.u.
total DFT energy (no corrections) = -2.54 eV per atom

=====

(5)
This record from Alexandria describes a relaxed Ba2AlCu crystal. The functional is PBE.

Cell and atoms, written as POSCAR:
```
Ba2AlCu
1.0
-1.4098 0.9826 4.1486
-2.5017 -2.9451 2.2874
6.1575 -4.3391 5.5442
Ba Cu Al
2 1 1
Cartesian
6.0135 -4.2682 5.4791
1.2670 -3.2216 6.0551
1.6845 -4.7261 8.9851
0.5615 -1.5754 2.9950
```

Output
energy of formation from the pure elements = 0.76 eV/f.u.
total DFT energy (no corrections) = -2.73 eV per atom

=====

(6)
This record from Alexandria describes a relaxed Ba6Sr2Tl crystal. The functional is PBE.

Cell and atoms, written as POSCAR:
```
Ba6Sr2Tl
1.0
-2.6958 1.8915 2.9273
0.9826 -9.9417 7.3286
8.1281 7.8549 -0.9075
Ba Sr Tl
6 2 1
Cartesian
2.7298 -0.1716 2.6234
3.9874 -3.0823 8.9797
3.6850 -0.0237 6.7250
-1.1082 -1.4793 3.2513
2.4275 2.8870 0.3687
-0.6050 -6.5710 7.0046
2.4306 -3.9489 4.7906
3.9843 3.7536 4.5577
0.0000 0.0000 0.0000
```

Output
energy of formation from the pure elements = -0.08 eV/f.u.
total DFT energy (no corrections) = -1.93 eV per atom
excess energy over the best structure of this formula in the dataset = 49.9 meV/atom

=====

What is the total DFT energy (no corrections) in the sixth record?
-1.93 eV per atom

=====

total DFT energy (no corrections) of number 1 (LiPuCl3)?
-6.05 eV per atom

=====

What is the formula in the fourth record?
RbNa2Tl2Bi2

=====

What is the total DFT energy (no corrections) in the fourth record?
-2.54 eV per atom